## LuScMn (PBE)

Data for a relaxed structure of LuScMn.

VASP energy ... -6.59 eV per atom
ρ ... 7.274 g/cm³

a b c (Å): 3.242 3.242 11.937
angles (deg): 90.00 90.00 90.00
Space group I4mm (No. 107)
One atom of each set of equivalent atoms:
1 Lu 0.000 0.000 0.000 [2 per cell]
2 Sc 0.000 0.000 0.265 [2 per cell]
3 Mn 0.000 0.000 0.640 [2 per cell]